Entry from the Open Quantum Materials Database: Zr4Ni3W2C3 after structural relaxation (PBE).

Structure (CIF):
```
data_Zr4Ni3W2C3
_chemical_formula_sum 'Zr8 Ni6 W4 C6'
_cell_length_a 5.565
_cell_length_b 5.565
_cell_length_c 13.219
_cell_angle_alpha 102.00
_cell_angle_beta 90.19
_cell_angle_gamma 119.88
_space_group_name_H-M_alt 'P 1'
_space_group_IT_number 1
_space_group_name_Hall 'P 1'
loop_
_atom_site_label
_atom_site_type_symbol
_atom_site_fract_x
_atom_site_fract_y
_atom_site_fract_z
Zr1 Zr 0.121 0.091 0.389
C1 C 0.338 0.176 0.000
Zr2 Zr 0.805 0.433 0.389
C2 C 0.662 0.824 0.000
W1 W 0.473 0.771 0.420
Ni1 Ni 0.418 0.928 0.251
Ni2 Ni 0.677 0.667 0.249
Zr3 Zr 0.195 0.567 0.611
Ni3 Ni 0.160 0.410 0.250
Zr4 Zr 0.702 0.232 0.111
C3 C 0.500 0.500 0.500
C4 C 0.824 0.162 0.500
W2 W 0.351 0.553 0.080
Ni4 Ni 0.323 0.333 0.751
C5 C 0.176 0.838 0.500
W3 W 0.649 0.447 0.920
W4 W 0.527 0.229 0.580
C6 C 0.000 0.500 0.000
Ni5 Ni 0.582 0.072 0.749
Zr5 Zr 0.956 0.084 0.889
Ni6 Ni 0.840 0.590 0.750
Zr6 Zr 0.044 0.916 0.111
Zr7 Zr 0.879 0.909 0.611
Zr8 Zr 0.298 0.768 0.889
```

Space-group type: No. 15
Calculated total energy: -9.082 eV per atom
Total moment: 0.01 μB/cell
Calculated density: 9.1 Mg/m³

Entry from the Open Quantum Materials Database: YNiC2 after structural relaxation (PBE).

Structure (CIF):
```
data_YNiC2
_chemical_formula_sum 'Y2 Ni2 C4'
_cell_length_a 3.499
_cell_length_b 3.499
_cell_length_c 9.011
_cell_angle_alpha 90.00
_cell_angle_beta 90.00
_cell_angle_gamma 120.00
_space_group_name_H-M_alt 'P 1'
_space_group_IT_number 1
_space_group_name_Hall 'P 1'
loop_
_atom_site_label
_atom_site_type_symbol
_atom_site_fract_x
_atom_site_fract_y
_atom_site_fract_z
Y1 Y 0.000 0.000 0.500
C1 C 0.333 0.667 0.673
C2 C 0.667 0.333 0.173
Y2 Y 0.000 0.000 0.000
Ni1 Ni 0.667 0.333 0.750
C3 C 0.333 0.667 0.827
C4 C 0.667 0.333 0.327
Ni2 Ni 0.333 0.667 0.250
```

Space-group type: No. 194
Calculated total energy: -7.784 eV per atom
Total moment: 0.03 μB/cell
Calculated density: 6.0 Mg/m³

Entry from the Open Quantum Materials Database: Y2NiC after structural relaxation (PBE).

Structure (CIF):
```
data_Y2NiC
_chemical_formula_sum 'Y4 Ni2 C2'
_cell_length_a 3.627
_cell_length_b 3.627
_cell_length_c 13.300
_cell_angle_alpha 90.00
_cell_angle_beta 90.00
_cell_angle_gamma 120.00
_space_group_name_H-M_alt 'P 1'
_space_group_IT_number 1
_space_group_name_Hall 'P 1'
loop_
_atom_site_label
_atom_site_type_symbol
_atom_site_fract_x
_atom_site_fract_y
_atom_site_fract_z
Y1 Y 0.667 0.333 0.898
C1 C 0.000 0.000 0.500
Y2 Y 0.667 0.333 0.602
Y3 Y 0.333 0.667 0.398
Ni1 Ni 0.667 0.333 0.250
Ni2 Ni 0.333 0.667 0.750
C2 C 0.000 0.000 0.000
Y4 Y 0.333 0.667 0.102
```

Space-group type: No. 194
Calculated total energy: -7.105 eV per atom
Total moment: 0.02 μB/cell
Calculated density: 5.4 Mg/m³

Entry from the Open Quantum Materials Database: Y4Ni12C after structural relaxation (PBE).

Structure (CIF):
```
data_Y4Ni12C
_chemical_formula_sum 'Y4 Ni12 C1'
_cell_length_a 6.741
_cell_length_b 6.741
_cell_length_c 6.741
_cell_angle_alpha 109.47
_cell_angle_beta 109.47
_cell_angle_gamma 109.47
_space_group_name_H-M_alt 'P 1'
_space_group_IT_number 1
_space_group_name_Hall 'P 1'
loop_
_atom_site_label
_atom_site_type_symbol
_atom_site_fract_x
_atom_site_fract_y
_atom_site_fract_z
Ni1 Ni 0.748 0.748 0.000
Ni2 Ni 0.250 0.500 0.750
Ni3 Ni 0.000 0.748 0.748
Ni4 Ni 0.250 0.750 0.500
Y1 Y 0.000 0.000 0.500
Ni5 Ni 0.750 0.250 0.500
Ni6 Ni 0.000 0.252 0.252
Ni7 Ni 0.748 0.000 0.748
Y2 Y 0.500 0.000 0.000
Ni8 Ni 0.500 0.250 0.750
Ni9 Ni 0.252 0.252 0.000
Ni10 Ni 0.750 0.500 0.250
Y3 Y 0.000 0.500 0.000
Ni11 Ni 0.252 0.000 0.252
Y4 Y 0.500 0.500 0.500
Ni12 Ni 0.500 0.750 0.250
C1 C 0.000 0.000 0.000
```

Space-group type: No. 229
Calculated total energy: -6.265 eV per atom
Total moment: 0.00 μB/cell
Calculated density: 7.5 Mg/m³

Entry from the Open Quantum Materials Database: Y3Ni4C7 after structural relaxation (PBE).

Structure (CIF):
```
data_Y3Ni4C7
_chemical_formula_sum 'Y3 Ni4 C7'
_cell_length_a 12.715
_cell_length_b 12.715
_cell_length_c 12.715
_cell_angle_alpha 164.06
_cell_angle_beta 164.06
_cell_angle_gamma 22.61
_space_group_name_H-M_alt 'P 1'
_space_group_IT_number 1
_space_group_name_Hall 'P 1'
loop_
_atom_site_label
_atom_site_type_symbol
_atom_site_fract_x
_atom_site_fract_y
_atom_site_fract_z
Ni1 Ni 0.204 0.704 0.500
Y1 Y 0.104 0.104 0.000
C1 C 0.604 0.604 0.000
Y2 Y 0.804 0.804 0.000
Y3 Y 0.405 0.405 0.000
C2 C 0.253 0.253 0.000
C3 C 0.308 0.308 0.000
Ni2 Ni 0.704 0.204 0.500
C4 C 0.956 0.956 0.000
Ni3 Ni 0.005 0.505 0.500
C5 C 0.901 0.901 0.000
C6 C 0.549 0.549 0.000
C7 C 0.660 0.660 0.000
Ni4 Ni 0.505 0.005 0.500
```

Space-group type: No. 139
Calculated total energy: -7.735 eV per atom
Total moment: 0.00 μB/cell
Calculated density: 6.3 Mg/m³

Entry from the Open Quantum Materials Database: Y4Ni13C4 after structural relaxation (PBE).

Structure (CIF):
```
data_Y4Ni13C4
_chemical_formula_sum 'Y4 Ni13 C4'
_cell_length_a 3.869
_cell_length_b 8.405
_cell_length_c 8.405
_cell_angle_alpha 88.70
_cell_angle_beta 90.00
_cell_angle_gamma 90.00
_space_group_name_H-M_alt 'P 1'
_space_group_IT_number 1
_space_group_name_Hall 'P 1'
loop_
_atom_site_label
_atom_site_type_symbol
_atom_site_fract_x
_atom_site_fract_y
_atom_site_fract_z
Ni1 Ni 0.000 0.291 0.926
C1 C 0.000 0.443 0.443
C2 C 0.000 0.000 0.500
C3 C 0.000 0.557 0.557
Y1 Y 0.500 0.812 0.812
Ni2 Ni 0.000 0.926 0.291
Ni3 Ni 0.000 0.074 0.709
Ni4 Ni 0.000 0.431 0.216
Ni5 Ni 0.000 0.569 0.784
Ni6 Ni 0.000 0.784 0.569
Ni7 Ni 0.500 0.877 0.123
C4 C 0.000 0.500 0.000
Y2 Y 0.500 0.188 0.188
Y3 Y 0.500 0.651 0.349
Ni8 Ni 0.500 0.500 0.000
Ni9 Ni 0.500 0.000 0.500
Y4 Y 0.500 0.349 0.651
Ni10 Ni 0.500 0.123 0.877
Ni11 Ni 0.000 0.709 0.074
Ni12 Ni 0.000 0.000 0.000
Ni13 Ni 0.000 0.216 0.431
```

Space-group type: No. 65
Calculated total energy: -6.770 eV per atom
Total moment: 0.02 μB/cell
Calculated density: 7.1 Mg/m³

What did the third record say?
Entry from the Open Quantum Materials Database: Y2NiC after structural relaxation (PBE).

Structure (CIF):
```
data_Y2NiC
_chemical_formula_sum 'Y4 Ni2 C2'
_cell_length_a 3.627
_cell_length_b 3.627
_cell_length_c 13.300
_cell_angle_alpha 90.00
_cell_angle_beta 90.00
_cell_angle_gamma 120.00
_space_group_name_H-M_alt 'P 1'
_space_group_IT_number 1
_space_group_name_Hall 'P 1'
loop_
_atom_site_label
_atom_site_type_symbol
_atom_site_fract_x
_atom_site_fract_y
_atom_site_fract_z
Y1 Y 0.667 0.333 0.898
C1 C 0.000 0.000 0.500
Y2 Y 0.667 0.333 0.602
Y3 Y 0.333 0.667 0.398
Ni1 Ni 0.667 0.333 0.250
Ni2 Ni 0.333 0.667 0.750
C2 C 0.000 0.000 0.000
Y4 Y 0.333 0.667 0.102
```

Space-group type: No. 194
Calculated total energy: -7.105 eV per atom
Total moment: 0.02 μB/cell
Calculated density: 5.4 Mg/m³